{
  "formula": "Sc3BeN",
  "functional": "PBE",
  "state": "optimized geometry",
  "space_group": "Pm-3m",
  "polymorph_energy_kj_per_mol_atoms": 0.0,
  "dos_ef_per_ev_cell": 3.9,
  "lattice": [[4.365, 0.000, 0.000], [0.000, 4.365, 0.000], [0.000, 0.000, 4.365]],
  "species": ["Sc", "Sc", "Sc", "Be", "N"],
  "frac_coords": [[0.000, 0.000, 0.500], [0.000, 0.500, 0.000], [0.500, 0.000, 0.000], [0.500, 0.500, 0.500], [0.000, 0.000, 0.000]]
}

---

{
  "formula": "K6RbNa6",
  "functional": "PBE",
  "state": "optimized geometry",
  "total_energy_ev_per_atom": -1.1723,
  "space_group": "Immm",
  "dos_ef_per_ev_cell": 8.0,
  "lattice": [[-3.828, 6.814, 7.024], [3.828, -6.814, 7.024], [3.828, 6.814, -7.024]],
  "species": ["K", "K", "K", "K", "K", "K", "Rb", "Na", "Na", "Na", "Na", "Na", "Na"],
  "frac_coords": [[0.154, 0.500, 0.654], [0.160, 0.160, 0.000], [0.317, 0.000, 0.317], [0.683, 0.000, 0.683], [0.840, 0.840, 0.000], [0.846, 0.500, 0.346], [0.500, 0.500, 0.000], [0.000, 0.000, 0.500], [0.000, 0.500, 0.000], [0.268, 0.768, 0.500], [0.500, 0.000, 0.000], [0.500, 0.500, 0.500], [0.732, 0.232, 0.500]]
}

---

{
  "formula": "NaNd3Te4",
  "functional": "PBE",
  "state": "optimized geometry",
  "space_group": "Pmmn",
  "polymorph_energy_kj_per_mol_atoms": 18.8,
  "dos_ef_per_ev_cell": 8.3,
  "lattice": [[6.319, 0.000, 0.000], [0.000, 10.649, 0.000], [0.000, 0.000, 9.488]],
  "species": ["Na", "Na", "Nd", "Nd", "Nd", "Nd", "Nd", "Nd", "Te", "Te", "Te", "Te", "Te", "Te", "Te", "Te"],
  "frac_coords": [[0.250, 0.250, 0.156], [0.750, 0.750, 0.844], [0.250, 0.501, 0.665], [0.250, 0.750, 0.181], [0.250, 0.999, 0.665], [0.750, 0.001, 0.335], [0.750, 0.250, 0.819], [0.750, 0.499, 0.335], [0.250, 0.007, 0.337], [0.250, 0.250, 0.830], [0.250, 0.493, 0.337], [0.250, 0.750, 0.847], [0.750, 0.250, 0.153], [0.750, 0.507, 0.663], [0.750, 0.750, 0.170], [0.750, 0.993, 0.663]]
}

---

{
  "formula": "ThZrCd2",
  "functional": "PBE",
  "state": "optimized geometry",
  "space_group": "P4/mmm",
  "polymorph_energy_kj_per_mol_atoms": 0.0,
  "dos_ef_per_ev_cell": 4.6,
  "lattice": [[3.277, 0.000, 0.000], [0.000, 3.277, 0.000], [0.000, 0.000, 9.113]],
  "species": ["Th", "Zr", "Cd", "Cd"],
  "frac_coords": [[0.000, 0.000, 0.000], [0.000, 0.000, 0.500], [0.500, 0.500, 0.272], [0.500, 0.500, 0.728]]
}

---

{
  "formula": "TmThPt6",
  "functional": "PBE",
  "state": "optimized geometry",
  "total_energy_ev_per_atom": -7.1383,
  "space_group": "P4/mmm",
  "dos_ef_per_ev_cell": 2.6,
  "lattice": [[4.173, 0.000, 0.000], [0.000, 4.173, 0.000], [0.000, 0.000, 8.291]],
  "species": ["Tm", "Th", "Pt", "Pt", "Pt", "Pt", "Pt", "Pt"],
  "frac_coords": [[0.000, 0.000, 0.000], [0.000, 0.000, 0.500], [0.000, 0.500, 0.244], [0.000, 0.500, 0.756], [0.500, 0.000, 0.244], [0.500, 0.000, 0.756], [0.500, 0.500, 0.000], [0.500, 0.500, 0.500]]
}

---

{
  "formula": "Pm4Tl2Sn3",
  "functional": "PBE",
  "state": "optimized geometry",
  "total_energy_ev_per_atom": -4.3672,
  "space_group": "Cmce",
  "dos_ef_per_ev_cell": 10.3,
  "lattice": [[3.674, -7.796, 0.000], [3.674, 7.796, 0.000], [0.000, 0.000, 10.008]],
  "species": ["Pm", "Pm", "Pm", "Pm", "Pm", "Pm", "Pm", "Pm", "Tl", "Tl", "Tl", "Tl", "Sn", "Sn", "Sn", "Sn", "Sn", "Sn"],
  "frac_coords": [[0.198, 0.802, 0.991], [0.209, 0.291, 0.750], [0.291, 0.209, 0.250], [0.302, 0.698, 0.491], [0.698, 0.302, 0.509], [0.709, 0.791, 0.750], [0.791, 0.709, 0.250], [0.802, 0.198, 0.009], [0.103, 0.897, 0.594], [0.397, 0.603, 0.094], [0.603, 0.397, 0.906], [0.897, 0.103, 0.406], [0.000, 0.000, 0.000], [0.002, 0.498, 0.750], [0.498, 0.002, 0.250], [0.500, 0.500, 0.500], [0.502, 0.998, 0.750], [0.998, 0.502, 0.250]]
}

---

{
  "formula": "CaLa2O",
  "functional": "PBE",
  "state": "optimized geometry",
  "total_energy_ev_per_atom": -5.4855,
  "space_group": "R-3m",
  "dos_ef_per_ev_cell": 4.9,
  "lattice": [[1.903, 1.099, 9.499], [-1.903, 1.099, 9.499], [0.000, -2.197, 9.499]],
  "species": ["Ca", "La", "La", "O"],
  "frac_coords": [[0.000, 0.000, 0.000], [0.214, 0.214, 0.214], [0.786, 0.786, 0.786], [0.500, 0.500, 0.500]]
}

---

{
  "formula": "CePmMgRe",
  "functional": "PBE",
  "state": "optimized geometry",
  "total_energy_ev_per_atom": -5.9925,
  "space_group": "F-43m",
  "dos_ef_per_ev_cell": 6.4,
  "lattice": [[0.000, 3.612, 3.612], [3.612, 0.000, 3.612], [3.612, 3.612, 0.000]],
  "species": ["Ce", "Pm", "Mg", "Re"],
  "frac_coords": [[0.000, 0.000, 0.000], [0.500, 0.500, 0.500], [0.250, 0.250, 0.250], [0.750, 0.750, 0.750]]
}

---

{
  "formula": "PrNd6Hg2",
  "functional": "PBE",
  "state": "optimized geometry",
  "total_energy_ev_per_atom": -3.9846,
  "space_group": "C2/m",
  "dos_ef_per_ev_cell": 9.5,
  "lattice": [[6.510, -1.922, 0.000], [6.510, 1.922, 0.000], [-3.914, 0.000, 11.674]],
  "species": ["Pr", "Nd", "Nd", "Nd", "Nd", "Nd", "Nd", "Hg", "Hg"],
  "frac_coords": [[0.000, 0.000, 0.000], [0.020, 0.020, 0.338], [0.311, 0.311, 0.412], [0.314, 0.314, 0.125], [0.686, 0.686, 0.875], [0.689, 0.689, 0.588], [0.980, 0.980, 0.662], [0.355, 0.355, 0.794], [0.645, 0.645, 0.206]]
}

---

{
  "formula": "TiSb2AsI",
  "functional": "PBE",
  "state": "optimized geometry",
  "space_group": "P4/mmm",
  "polymorph_energy_kj_per_mol_atoms": 43.3,
  "dos_ef_per_ev_cell": 6.4,
  "lattice": [[5.356, 0.000, 0.000], [0.000, 5.356, 0.000], [0.000, 0.000, 5.404]],
  "species": ["Ti", "Sb", "Sb", "As", "I"],
  "frac_coords": [[0.000, 0.000, 0.000], [0.000, 0.500, 0.500], [0.500, 0.000, 0.500], [0.500, 0.500, 0.500], [0.500, 0.500, 0.000]]
}

---

{
  "formula": "Sm8Dy3Ho4",
  "functional": "PBE",
  "state": "optimized geometry",
  "space_group": "R-3m",
  "polymorph_energy_kj_per_mol_atoms": 0.0,
  "dos_ef_per_ev_cell": 24.3,
  "lattice": [[3.487, 2.013, 11.845], [-3.487, 2.013, 11.845], [0.000, -4.026, 11.845]],
  "species": ["Sm", "Sm", "Sm", "Sm", "Sm", "Sm", "Sm", "Sm", "Dy", "Dy", "Dy", "Ho", "Ho", "Ho", "Ho"],
  "frac_coords": [[0.246, 0.246, 0.246], [0.248, 0.751, 0.751], [0.249, 0.249, 0.752], [0.249, 0.752, 0.249], [0.751, 0.248, 0.751], [0.751, 0.751, 0.248], [0.752, 0.249, 0.249], [0.754, 0.754, 0.754], [0.000, 0.000, 0.500], [0.000, 0.500, 0.000], [0.500, 0.000, 0.000], [0.000, 0.000, 0.000], [0.336, 0.336, 0.336], [0.500, 0.500, 0.500], [0.664, 0.664, 0.664]]
}

---

{
  "formula": "Tl2SeS5",
  "functional": "PBE",
  "state": "optimized geometry",
  "total_energy_ev_per_atom": -3.6647,
  "space_group": "P1",
  "lattice": [[5.102, 0.000, 0.000], [0.440, 7.008, 0.000], [1.583, 2.186, 7.471]],
  "species": ["Tl", "Tl", "Se", "S", "S", "S", "S", "S"],
  "frac_coords": [[0.000, 0.000, 0.000], [0.152, 0.457, 0.531], [0.695, 0.911, 0.569], [0.098, 0.659, 0.837], [0.403, 0.992, 0.373], [0.479, 0.788, 0.233], [0.498, 0.617, 0.785], [0.598, 0.148, 0.693]]
}

---

{
  "formula": "CaPrHo",
  "functional": "PBE",
  "state": "optimized geometry",
  "space_group": "C2/m",
  "polymorph_energy_kj_per_mol_atoms": 0.0,
  "dos_ef_per_ev_cell": 7.2,
  "lattice": [[3.181, -1.836, 0.000], [3.181, 1.836, 0.000], [-2.134, 0.000, 18.406]],
  "species": ["Ca", "Ca", "Pr", "Pr", "Ho", "Ho"],
  "frac_coords": [[0.196, 0.196, 0.090], [0.804, 0.804, 0.910], [0.079, 0.079, 0.733], [0.921, 0.921, 0.267], [0.360, 0.360, 0.577], [0.640, 0.640, 0.423]]
}

---

{
  "formula": "Pm5Y2Th",
  "functional": "PBE",
  "state": "optimized geometry",
  "space_group": "Pbam",
  "polymorph_energy_kj_per_mol_atoms": 0.0,
  "dos_ef_per_ev_cell": 21.6,
  "lattice": [[7.236, 0.000, 0.000], [0.000, 14.482, 0.000], [0.000, 0.000, 5.126]],
  "species": ["Pm", "Pm", "Pm", "Pm", "Pm", "Pm", "Pm", "Pm", "Pm", "Pm", "Y", "Y", "Y", "Y", "Th", "Th"],
  "frac_coords": [[0.000, 0.000, 0.000], [0.005, 0.252, 0.000], [0.248, 0.377, 0.500], [0.252, 0.877, 0.500], [0.495, 0.752, 0.000], [0.500, 0.500, 0.000], [0.505, 0.248, 0.000], [0.748, 0.123, 0.500], [0.752, 0.623, 0.500], [0.995, 0.748, 0.000], [0.241, 0.623, 0.500], [0.259, 0.123, 0.500], [0.741, 0.877, 0.500], [0.759, 0.377, 0.500], [0.000, 0.500, 0.000], [0.500, 0.000, 0.000]]
}

---

{
  "formula": "Ca3Tl2Cd",
  "functional": "PBE",
  "state": "optimized geometry",
  "space_group": "P-3m1",
  "polymorph_energy_kj_per_mol_atoms": 0.0,
  "dos_ef_per_ev_cell": 6.8,
  "lattice": [[5.470, 0.000, 0.000], [-2.735, 4.738, 0.000], [0.000, 0.000, 13.403]],
  "species": ["Ca", "Ca", "Ca", "Ca", "Ca", "Ca", "Tl", "Tl", "Tl", "Tl", "Cd", "Cd"],
  "frac_coords": [[0.000, 0.000, 0.249], [0.000, 0.000, 0.751], [0.333, 0.667, 0.416], [0.333, 0.667, 0.918], [0.667, 0.333, 0.082], [0.667, 0.333, 0.584], [0.000, 0.000, 0.000], [0.000, 0.000, 0.500], [0.333, 0.667, 0.670], [0.667, 0.333, 0.330], [0.333, 0.667, 0.167], [0.667, 0.333, 0.833]]
}

---

{
  "formula": "PPbIO2",
  "functional": "PBE",
  "state": "optimized geometry",
  "total_energy_ev_per_atom": -4.1371,
  "space_group": "P4/mmm",
  "dos_ef_per_ev_cell": 0.4,
  "lattice": [[4.222, 0.000, 0.000], [0.000, 4.222, 0.000], [0.000, 0.000, 5.187]],
  "species": ["P", "Pb", "I", "O", "O"],
  "frac_coords": [[0.000, 0.000, 0.000], [0.500, 0.500, 0.500], [0.000, 0.000, 0.500], [0.000, 0.500, 0.000], [0.500, 0.000, 0.000]]
}

---

{
  "formula": "Sr2ReW",
  "functional": "PBE",
  "state": "optimized geometry",
  "space_group": "R-3m",
  "polymorph_energy_kj_per_mol_atoms": 94.7,
  "dos_ef_per_ev_cell": 2.3,
  "lattice": [[1.516, 0.875, 11.096], [-1.516, 0.875, 11.096], [0.000, -1.751, 11.096]],
  "species": ["Sr", "Sr", "Re", "W"],
  "frac_coords": [[0.248, 0.248, 0.248], [0.752, 0.752, 0.752], [0.500, 0.500, 0.500], [0.000, 0.000, 0.000]]
}

---

{
  "formula": "BeH3Pt",
  "functional": "PBE",
  "state": "optimized geometry",
  "space_group": "Pm-3m",
  "polymorph_energy_kj_per_mol_atoms": 0.0,
  "dos_ef_per_ev_cell": 1.4,
  "lattice": [[3.495, 0.000, 0.000], [0.000, 3.495, 0.000], [0.000, 0.000, 3.495]],
  "species": ["Be", "H", "H", "H", "Pt"],
  "frac_coords": [[0.000, 0.000, 0.000], [0.000, 0.500, 0.500], [0.500, 0.000, 0.500], [0.500, 0.500, 0.000], [0.500, 0.500, 0.500]]
}

---

{
  "formula": "InNiHg4",
  "functional": "PBE",
  "state": "optimized geometry",
  "total_energy_ev_per_atom": -1.1349,
  "space_group": "F-43m",
  "dos_ef_per_ev_cell": 4.3,
  "lattice": [[0.000, 4.179, 4.179], [4.179, 0.000, 4.179], [4.179, 4.179, 0.000]],
  "species": ["In", "Ni", "Hg", "Hg", "Hg", "Hg"],
  "frac_coords": [[0.000, 0.000, 0.000], [0.750, 0.750, 0.750], [0.376, 0.376, 0.376], [0.376, 0.376, 0.873], [0.376, 0.873, 0.376], [0.873, 0.376, 0.376]]
}

---

{
  "formula": "SrTa2Mo",
  "functional": "PBE",
  "state": "optimized geometry",
  "space_group": "Immm",
  "polymorph_energy_kj_per_mol_atoms": 28.6,
  "dos_ef_per_ev_cell": 4.4,
  "lattice": [[-1.562, 2.723, 5.140], [1.562, -2.723, 5.140], [1.562, 2.723, -5.140]],
  "species": ["Sr", "Ta", "Ta", "Mo"],
  "frac_coords": [[0.000, 0.000, 0.000], [0.291, 0.791, 0.500], [0.709, 0.209, 0.500], [0.500, 0.500, 0.000]]
}